This record from Alexandria via LeMat-Bulk describes a relaxed structure of Li3Ti2P3O12. The functional is PBE.

POSCAR file:
```
Li3Ti2P3O12
1.0
8.788 0.000 0.000
0.000 8.894 -0.041
0.000 0.133 12.241
O Li Ti P
48 12 8 12
Direct
0.279 0.354 0.317
0.315 0.070 0.406
0.444 0.345 0.536
0.596 0.932 0.160
0.086 0.345 0.470
0.508 0.816 0.779
0.838 0.163 0.571
0.338 0.337 0.929
0.721 0.646 0.683
0.586 0.155 0.030
0.185 0.570 0.906
0.026 0.164 0.767
0.056 0.845 0.036
0.162 0.837 0.429
0.641 0.456 0.926
0.372 0.885 0.562
0.872 0.615 0.938
0.779 0.146 0.183
0.685 0.930 0.594
0.128 0.385 0.062
0.414 0.845 0.970
0.662 0.663 0.071
0.974 0.836 0.233
0.992 0.316 0.279
0.259 0.846 0.187
0.008 0.684 0.721
0.914 0.655 0.530
0.944 0.155 0.964
0.474 0.664 0.267
0.904 0.432 0.660
0.492 0.184 0.221
0.404 0.068 0.840
0.904 0.930 0.835
0.141 0.044 0.574
0.526 0.336 0.733
0.404 0.570 0.665
0.556 0.655 0.464
0.628 0.115 0.438
0.096 0.070 0.165
0.741 0.154 0.813
0.596 0.430 0.335
0.096 0.568 0.340
0.359 0.544 0.074
0.815 0.430 0.094
0.859 0.956 0.426
0.759 0.654 0.313
0.241 0.346 0.687
0.221 0.854 0.817
0.732 0.289 0.679
0.079 0.919 0.701
0.200 0.568 0.744
0.579 0.581 0.799
0.421 0.419 0.201
0.300 0.068 0.244
0.800 0.432 0.256
0.232 0.211 0.821
0.768 0.789 0.179
0.700 0.932 0.756
0.268 0.711 0.321
0.921 0.081 0.299
0.970 0.254 0.109
0.456 0.754 0.109
0.530 0.754 0.609
0.544 0.246 0.891
0.030 0.746 0.891
0.956 0.746 0.391
0.044 0.254 0.609
0.470 0.246 0.391
0.114 0.396 0.351
0.596 0.605 0.349
0.753 0.037 0.507
0.886 0.604 0.649
0.404 0.395 0.651
0.904 0.105 0.849
0.747 0.537 0.007
0.614 0.104 0.149
0.253 0.463 0.993
0.096 0.895 0.151
0.247 0.963 0.493
0.386 0.896 0.851
```

Calculated values
**Total energy**: -7.321 eV per atom
**Volume**: 11.96 Å³ per atom
**Relative energy among the computed polymorphs**: 0.0 kJ/mol of atoms
**Formation energy (no corrections)**: -2.46 eV/atom